Material: Ba3LaTa2O9
Method: DFT, GGA-PBE
State: optimized geometry Values from VASP.

Energy relative to the elements, uncorrected = -44.76 eV per formula unit
SG = No. 164

Geometry as Quantum ESPRESSO input:
```
&SYSTEM
  ibrav = 0, nat = 15, ntyp = 4
/
ATOMIC_SPECIES
Ba 137.33 Ba.upf
La 138.91 La.upf
Ta 180.95 Ta.upf
O 16.00 O.upf
ATOMIC_POSITIONS angstrom
Ba 0.0000 3.4831 5.1928
Ba 0.0000 0.0000 0.0000
Ba 3.0164 1.7415 2.3800
La 0.0000 0.0000 3.7864
Ta 0.0000 3.4831 1.1988
Ta 3.0164 1.7415 6.3741
O 4.4249 0.9284 5.2557
O 3.0164 3.3679 5.2557
O 1.6080 0.9284 5.2557
O 1.4084 4.2962 2.3171
O 0.0000 1.8567 2.3171
O -1.4084 4.2962 2.3171
O 3.0164 0.0000 0.0000
O -1.5082 2.6123 0.0000
O 1.5082 2.6123 0.0000
CELL_PARAMETERS angstrom
6.0328 0.0000 0.0000
-3.0164 5.2246 0.0000
0.0000 0.0000 7.5728
```